#A
Here is a geometry-optimized SnIO2 structure from the Alexandria database. Energies are from GGA-PBE.

Lattice parameters (Å, degrees): 6.286 6.286 6.244 59.77 59.77 90.00
Site moments in Bohr magnetons follow the coordinates.
Sites, in units of the cell vectors:
O (0.444, 0.125, 0.250)  0.03
I (0.000, 0.000, 0.000)  0.61
O (0.306, 0.625, 0.250)  0.04
I (0.750, 0.250, 0.500)  0.60
Sn (0.250, 0.750, 0.500)  -0.01
Sn (0.500, 0.500, 0.000)  -0.01
O (0.875, 0.694, 0.750)  0.06
O (0.375, 0.556, 0.750)  0.05

**Space group**: I-42d, No. 122

#B
Here is a geometry-optimized SnIO2 structure from the Alexandria database. Energies are from GGA-PBE.

Lattice parameters (Å, degrees): 9.200 9.200 9.200 20.29 20.29 20.29
Sites, in units of the cell vectors:
Sn (0.500, 0.500, 0.500)
I (0.000, 0.000, 0.000)
O (0.870, 0.870, 0.870)
O (0.130, 0.130, 0.130)

**Space group**: R-3m, No. 166

Verdict on stability: #A comes out at the bottom.

#A
Here is a geometry-optimized CaLa2Ru structure from the Alexandria database. Energies are from GGA-PBE.

Lattice parameters (Å, degrees): 4.011 6.724 9.935 89.63 90.00 107.35
Sites, in units of the cell vectors:
La (0.147, 0.294, 0.421)
Ca (0.853, 0.706, 0.930)
Ca (0.147, 0.294, 0.070)
La (0.589, 0.178, 0.749)
Ru (0.769, 0.537, 0.283)
La (0.411, 0.822, 0.251)
Ru (0.231, 0.463, 0.717)
La (0.853, 0.706, 0.579)

**Space group**: C2/m, No. 12

#B
Here is a geometry-optimized CaLa2Ru structure from the Alexandria database. Energies are from GGA-PBE.

Lattice parameters (Å, degrees): 3.871 4.518 8.101 73.85 90.00 90.00
Sites, in units of the cell vectors:
La (0.500, 0.256, 0.364)
Ca (0.500, 0.578, 0.718)
Ru (0.000, 0.756, 0.365)
La (0.000, 0.910, 0.053)

**Space group**: Pm, No. 6

Verdict on stability: #B comes out at the bottom.